[1]
A plane-wave DFT calculation with meta-GGA SCAN was carried out for a crystal of TlIr relaxed with PBEsol.

a = 3.0870 Å, b = 5.2073 Å, c = 4.5249 Å
α = 90.00°, β = 90.00°, γ = 90.00°
Closest atoms and distances in Å follow each position.
Sites, in units of the cell vectors:
Tl 0.0000 0.0000 0.0000  4 Ir 2.74, 4 Tl 3.03
Tl 0.5000 0.5000 0.0000  4 Ir 2.74, 4 Tl 3.03
Ir 0.0000 0.5000 0.5000  4 Tl 2.74, 4 Ir 3.03
Ir 0.5000 0.0000 0.5000  4 Tl 2.74, 4 Ir 3.03

Calculated values
The formation energy comes out at 802 meV/atom.



[2]
A plane-wave DFT calculation with meta-GGA SCAN was carried out for a crystal of BaScZn3 relaxed with PBEsol.

a = 5.4382 Å, b = 5.4382 Å, c = 5.4382 Å
α = 90.00°, β = 90.00°, γ = 90.00°
Closest atoms and distances in Å follow each position.
Sites, in units of the cell vectors:
Ba 0.0000 0.0000 0.0000  6 Zn 2.72
Sc 0.5000 0.5000 0.5000  12 Zn 3.85
Zn 0.0000 0.0000 0.5000  2 Ba 2.72
Zn 0.0000 0.5000 0.0000  2 Ba 2.72
Zn 0.5000 0.0000 0.0000  2 Ba 2.72

Calculated values
The formation energy comes out at 1126 meV/atom.



[3]
A plane-wave DFT calculation with meta-GGA SCAN was carried out for a crystal of TcMo2W relaxed with PBEsol.

a = 3.1074 Å, b = 4.4185 Å, c = 8.7964 Å
α = 90.00°, β = 90.00°, γ = 90.00°
Closest atoms and distances in Å follow each position.
Sites, in units of the cell vectors:
Tc 0.0000 0.0000 0.0000  6 Mo 2.70-2.73, 2 W 2.70
Tc 0.5000 0.5000 0.5000  6 Mo 2.70-2.73, 2 W 2.70
Mo 0.0000 0.0000 0.4977  2 W 2.67, 2 Mo 2.67, 4 Tc 2.70
Mo 0.0000 0.5000 0.2448  2 Mo 2.67, 4 W 2.70, 2 Tc 2.73
Mo 0.5000 0.0000 0.7448  2 Mo 2.67, 4 W 2.70, 2 Tc 2.73
Mo 0.5000 0.5000 0.9977  2 W 2.67, 2 Mo 2.67, 4 Tc 2.70
W 0.0000 0.5000 0.7515  6 Mo 2.67-2.70, 2 Tc 2.70
W 0.5000 0.0000 0.2515  6 Mo 2.67-2.70, 2 Tc 2.70

Calculated values
The polymorph energy (0 for the lowest one) comes out at 0.012 eV per atom. The formation energy comes out at 16 meV/atom.



[4]
A plane-wave DFT calculation with meta-GGA SCAN was carried out for a crystal of KZnIr relaxed with PBEsol.

a = 6.3748 Å, b = 6.3748 Å, c = 6.3748 Å
α = 90.00°, β = 90.00°, γ = 90.00°
Closest atoms and distances in Å follow each position.
Sites, in units of the cell vectors:
K 0.0000 0.0000 0.0000  4 Zn 2.76
K 0.0000 0.5000 0.5000  4 Zn 2.76
K 0.5000 0.0000 0.5000  4 Zn 2.76
K 0.5000 0.5000 0.0000  4 Zn 2.76
Zn 0.2500 0.2500 0.2500  4 K 2.76, 4 Ir 2.76
Zn 0.2500 0.7500 0.7500  4 K 2.76, 4 Ir 2.76
Zn 0.7500 0.2500 0.7500  4 K 2.76, 4 Ir 2.76
Zn 0.7500 0.7500 0.2500  4 K 2.76, 4 Ir 2.76
Ir 0.0000 0.0000 0.5000  4 Zn 2.76
Ir 0.0000 0.5000 0.0000  4 Zn 2.76
Ir 0.5000 0.0000 0.0000  4 Zn 2.76
Ir 0.5000 0.5000 0.5000  4 Zn 2.76

Calculated values
The polymorph energy (0 for the lowest one) comes out at 0.464 eV per atom. The formation energy comes out at 933 meV/atom.



[5]
A plane-wave DFT calculation with meta-GGA SCAN was carried out for a crystal of KLaCr2 relaxed with PBEsol.

a = 6.4456 Å, b = 3.7264 Å, c = 9.3792 Å
α = 90.00°, β = 104.10°, γ = 90.00°
Closest atoms and distances in Å follow each position.
Sites, in units of the cell vectors:
K 0.0000 0.0000 0.0000  6 Cr 3.56, 6 K 3.72-3.73
K 0.5000 0.5000 0.0000  6 Cr 3.56, 6 K 3.72-3.73
La 0.1940 0.0000 0.5483  6 Cr 3.04
La 0.6940 0.5000 0.5483  6 Cr 3.04
Cr 0.2769 0.5000 0.3121  3 Cr 2.15
Cr 0.4434 0.0000 0.3118  3 Cr 2.15
Cr 0.7769 0.0000 0.3121  3 Cr 2.15
Cr 0.9434 0.5000 0.3118  3 Cr 2.15

Calculated values
The polymorph energy (0 for the lowest one) comes out at 0.000 eV per atom. The formation energy comes out at 728 meV/atom.



[6]
A plane-wave DFT calculation with meta-GGA SCAN was carried out for a crystal of Mg2SbSe relaxed with PBEsol.

a = 3.7964 Å, b = 3.7964 Å, c = 22.0077 Å
α = 90.00°, β = 90.00°, γ = 120.00°
Closest atoms and distances in Å follow each position.
Sites, in units of the cell vectors:
Mg 0.0000 0.0000 0.0000  3 Se 2.71, 3 Sb 2.99
Mg 0.0000 0.0000 0.1857  3 Se 2.75, 3 Sb 3.01
Mg 0.3333 0.6667 0.6667  3 Se 2.71, 3 Sb 2.99
Mg 0.3333 0.6667 0.8524  3 Se 2.75, 3 Sb 3.01
Mg 0.6667 0.3333 0.3333  3 Se 2.71, 3 Sb 2.99
Mg 0.6667 0.3333 0.5190  3 Se 2.75, 3 Sb 3.01
Sb 0.0000 0.0000 0.4255  6 Mg 2.99-3.01
Sb 0.3333 0.6667 0.0921  6 Mg 2.99-3.01
Sb 0.6667 0.3333 0.7588  6 Mg 2.99-3.01
Se 0.0000 0.0000 0.5945  6 Mg 2.71-2.75
Se 0.3333 0.6667 0.2612  6 Mg 2.71-2.75
Se 0.6667 0.3333 0.9278  6 Mg 2.71-2.75

Calculated values
The polymorph energy (0 for the lowest one) comes out at 0.083 eV per atom. For the formation energy (no corrections), the calculation gives -0.72 eV per atom.



[7]
A plane-wave DFT calculation with meta-GGA SCAN was carried out for a crystal of NaMgO2F relaxed with PBEsol.

a = 3.9638 Å, b = 3.9638 Å, c = 3.9815 Å
α = 90.00°, β = 90.00°, γ = 90.00°
Closest atoms and distances in Å follow each position.
Sites, in units of the cell vectors:
Na 0.0000 0.0000 0.0000  4 F 2.80, 8 O 2.81
Mg 0.5000 0.5000 0.5000  4 O 1.98, 2 F 1.99
O 0.0000 0.5000 0.5000  2 Mg 1.98
O 0.5000 0.0000 0.5000  2 Mg 1.98
F 0.5000 0.5000 0.0000  2 Mg 1.99

Calculated values
For the formation energy (no corrections), the calculation gives -1.83 eV per atom.



[8]
A plane-wave DFT calculation with meta-GGA SCAN was carried out for a crystal of YBeNiI2 relaxed with PBEsol.

a = 5.0808 Å, b = 5.0808 Å, c = 5.0440 Å
α = 90.00°, β = 90.00°, γ = 90.00°
Closest atoms and distances in Å follow each position.
Sites, in units of the cell vectors:
Y 0.0000 0.0000 0.0000  2 Ni 2.52
Be 0.5000 0.5000 0.0000  8 I 3.58, 4 Y 3.59
Ni 0.0000 0.0000 0.5000  2 Y 2.52, 4 I 2.54
I 0.0000 0.5000 0.5000  2 Ni 2.54
I 0.5000 0.0000 0.5000  2 Ni 2.54

Calculated values
For the formation energy (no corrections), the calculation gives 0.47 eV per atom.



[9]
A plane-wave DFT calculation with meta-GGA SCAN was carried out for a crystal of Y2NiTe relaxed with PBEsol.

a = 3.6459 Å, b = 4.9574 Å, c = 4.9678 Å
α = 90.00°, β = 90.00°, γ = 90.00°
Closest atoms and distances in Å follow each position.
Sites, in units of the cell vectors:
Y 0.0000 0.0000 0.0000  4 Te 3.08, 4 Ni 3.08
Y 0.0000 0.5000 0.5000  4 Ni 3.08, 4 Te 3.08
Ni 0.5000 0.0000 0.5000  8 Y 3.08
Te 0.5000 0.5000 0.0000  8 Y 3.08

Calculated values
For the formation energy (no corrections), the calculation gives -0.58 eV per atom.



[10]
A plane-wave DFT calculation with meta-GGA SCAN was carried out for a crystal of K4TaMn relaxed with PBEsol.

a = 6.8563 Å, b = 6.8563 Å, c = 6.8563 Å
α = 60.00°, β = 60.00°, γ = 60.00°
Closest atoms and distances in Å follow each position.
Sites, in units of the cell vectors:
K 0.1254 0.1254 0.1254  6 K 3.42-3.44
K 0.1254 0.1254 0.6239  6 K 3.42-3.44
K 0.1254 0.6239 0.1254  6 K 3.42-3.44
K 0.6239 0.1254 0.1254  6 K 3.42-3.44
Ta 0.5000 0.5000 0.5000  12 K 4.02, 4 Mn 4.20
Mn 0.7500 0.7500 0.7500  12 K 4.02, 4 Ta 4.20

Calculated values
The formation energy comes out at 1415 meV/atom.



> Number 1 is which compound?

TlIr